# 1
LuNbSn2 | PBE | relaxed

Cell lengths 3.7436, 3.7436, 6.4880 Å; angles 90.00, 90.00, 90.00 degrees
Closest atoms and distances in Å follow each position.
Positions (direct):
Lu 0.0000 0.0000 0.0000  8 Sn 3.19, 2 Nb 3.24
Nb 0.0000 0.0000 0.5000  8 Sn 3.03, 2 Lu 3.24
Sn 0.5000 0.5000 0.2743  1 Sn 2.93, 4 Nb 3.03, 4 Lu 3.19
Sn 0.5000 0.5000 0.7257  1 Sn 2.93, 4 Nb 3.03, 4 Lu 3.19

Summary:
Distance to the lowest polymorph of the same formula, kJ/mol of formula units: 0
Crystal system: tetragonal
Space-group type: P4/mmm
Fermi-level density of states, states/eV/cell: 4.0
Calculated total energy, eV/cell: -23.39
Energy relative to the elements, eV/atom: -0.200

# 2
Y2ZrTl | PBE | relaxed

Cell lengths 11.2160, 3.4547, 5.7710 Å; angles 90.00, 103.19, 90.00 degrees
Closest atoms and distances in Å follow each position.
Positions (direct):
Y 0.2440 0.0000 0.2503  3 Tl 3.28-3.50, 6 Y 3.34-3.45, 3 Zr 3.37-3.38
Y 0.2560 0.5000 0.7497  3 Tl 3.28-3.50, 6 Y 3.34-3.45, 3 Zr 3.37-3.38
Y 0.7440 0.5000 0.2503  3 Tl 3.28-3.50, 6 Y 3.34-3.45, 3 Zr 3.37-3.38
Y 0.7560 0.0000 0.7497  3 Tl 3.28-3.50, 6 Y 3.34-3.45, 3 Zr 3.37-3.38
Zr 0.0000 0.0000 0.5000  4 Tl 3.36, 6 Y 3.37-3.38, 2 Zr 3.45
Zr 0.5000 0.5000 0.5000  4 Tl 3.36, 6 Y 3.37-3.38, 2 Zr 3.45
Tl 0.0000 0.5000 0.0000  6 Y 3.28-3.50, 4 Zr 3.36, 2 Tl 3.45
Tl 0.5000 0.0000 0.0000  6 Y 3.28-3.50, 4 Zr 3.36, 2 Tl 3.45

Summary:
Distance to the lowest polymorph of the same formula, kJ/mol of formula units: 56
Crystal system: monoclinic
Space-group type: C2/m
Fermi-level density of states, states/eV/cell: 10.4
Calculated total energy, eV/cell: -47.59
Energy relative to the elements, eV/atom: 0.011

# 3
LiPuAgPb | PBE | relaxed

Cell lengths 7.2591, 7.2591, 7.2591 Å; angles 90.00, 90.00, 90.00 degrees
Closest atoms and distances in Å follow each position.
Positions (direct):
Li 0.0000 0.0000 0.0000  4 Pb 3.14, 4 Ag 3.14
Li 0.0000 0.5000 0.5000  4 Pb 3.14, 4 Ag 3.14
Li 0.5000 0.0000 0.5000  4 Pb 3.14, 4 Ag 3.14
Li 0.5000 0.5000 0.0000  4 Pb 3.14, 4 Ag 3.14
Pu 0.0000 0.0000 0.5000  4 Pb 3.14, 4 Ag 3.14
Pu 0.0000 0.5000 0.0000  4 Pb 3.14, 4 Ag 3.14
Pu 0.5000 0.0000 0.0000  4 Pb 3.14, 4 Ag 3.14
Pu 0.5000 0.5000 0.5000  4 Ag 3.14, 4 Pb 3.14
Ag 0.2500 0.2500 0.7500  4 Li 3.14, 4 Pu 3.14
Ag 0.2500 0.7500 0.2500  4 Li 3.14, 4 Pu 3.14
Ag 0.7500 0.2500 0.2500  4 Li 3.14, 4 Pu 3.14
Ag 0.7500 0.7500 0.7500  4 Pu 3.14, 4 Li 3.14
Pb 0.2500 0.2500 0.2500  4 Li 3.14, 4 Pu 3.14
Pb 0.2500 0.7500 0.7500  4 Li 3.14, 4 Pu 3.14
Pb 0.7500 0.2500 0.7500  4 Li 3.14, 4 Pu 3.14
Pb 0.7500 0.7500 0.2500  4 Li 3.14, 4 Pu 3.14

Summary:
Crystal system: cubic
Space-group type: F-43m
Fermi-level density of states, states/eV/cell: 49.9
Calculated total energy, eV/cell: -92.26
Energy relative to the elements, eV/atom: -0.065